Record 1
The following is a GGA-PBE calculation of a geometry-optimized Ac2ScSb2Te2 structure, from Alexandria.

crystal system: tetragonal
volume: 35.40 Å³ per atom
DFT total energy: -72.678 eV/cell
energy relative to the elements, uncorrected: -100 kJ per mole of atoms

Cell: 5.335 5.335 17.415 Å, 90.00 90.00 90.00°
Space group I4/mmm (No. 139)
One atom of each set of equivalent atoms:
1 Ac 0.000 0.000 0.134 x4
2 Sc 0.000 0.000 0.500 x2
3 Sb 0.000 0.500 0.000 x4
4 Te 0.000 0.000 0.323 x4



Record 2
The following is a GGA-PBE calculation of a geometry-optimized La2BeAlN structure, from Alexandria.

crystal system: tetragonal
volume: 20.03 Å³ per atom
DFT total energy: -28.465 eV/cell
energy relative to the elements, uncorrected: -54 kJ per mole of atoms

Cell: 5.500 5.500 3.312 Å, 90.00 90.00 90.00°
Space group P4/mmm (No. 123)
One atom of each set of equivalent atoms:
1 La 0.000 0.500 0.000 x2
2 Be 0.000 0.000 0.500 x1
3 Al 0.500 0.500 0.500 x1
4 N 0.000 0.000 0.000 x1



Record 3
The following is a GGA-PBE calculation of a geometry-optimized Pm3PrMg4 structure, from Alexandria.

ΔE_f: -112 meV per atom
crystal system: tetragonal
volume: 29.12 Å³ per atom
DFT total energy: -26.302 eV/cell

Cell: 5.476 5.476 7.770 Å, 90.00 90.00 90.00°
Space group P4/mmm (No. 123)
One atom of each set of equivalent atoms:
1 Pm 0.000 0.000 0.000 x1
2 Pm 0.000 0.000 0.500 x1
3 Pm 0.500 0.500 0.000 x1
4 Pr 0.500 0.500 0.500 x1
5 Mg 0.000 0.500 0.247 x4



Record 4
The following is a GGA-PBE calculation of a geometry-optimized AcPr2Nd3Y6 structure, from Alexandria.

ΔE_f: 15 meV per atom
crystal system: monoclinic
volume: 34.38 Å³ per atom
DFT total energy: -133.161 eV/cell

Cell: 6.359 11.012 11.971 Å, 90.00 100.17 90.00°
Space group C2/m (No. 12)
One atom of each set of equivalent atoms:
1 Ac 0.000 0.000 0.000 x2
2 Pr 0.000 0.333 0.000 x4
3 Nd 0.000 0.167 0.500 x4
4 Nd 0.000 0.500 0.500 x2
5 Y 0.248 0.332 0.747 x8
6 Y 0.249 0.500 0.253 x4